# ReCS, relaxed, DFT GGA-PBE
data_ReCS
_space_group_name_H-M_alt 'C 1 m 1'
_space_group_IT_number 8
_cell_length_a 10.619
_cell_length_b 3.005
_cell_length_c 5.569
_cell_angle_alpha 90.00
_cell_angle_beta 109.02
_cell_angle_gamma 90.00
loop_
_space_group_symop_operation_xyz
'x,y,z'
'x,-y,z'
'x+1/2,y+1/2,z'
'x+1/2,-y+1/2,z'
loop_
_atom_site_label
_atom_site_fract_x
_atom_site_fract_y
_atom_site_fract_z
Re1 0.000 0.000 0.000
Re2 0.242 0.000 0.439
C1 0.133 0.500 0.221
C2 0.380 0.000 0.789
S1 0.082 0.000 0.651
S2 0.397 0.500 0.326
# total moment	0.000	Bohr magnetons per cell
# raw total energy	-97.3	eV per cell
# DOS at the Fermi energy	2.51	states/eV per cell
# ΔE to the lowest computed polymorph	210	meV/atom
# crystal system	monoclinic
# formation energy without anion corrections	491	meV per atom

# ReC3S, relaxed, DFT GGA-PBE
data_ReC3S
_space_group_name_H-M_alt 'P m -3 m'
_space_group_IT_number 221
_space_group_name_Hall '-P 4 2 3'
_cell_length_a 4.082
_cell_length_b 4.082
_cell_length_c 4.082
_cell_angle_alpha 90.00
_cell_angle_beta 90.00
_cell_angle_gamma 90.00
loop_
_atom_site_label
_atom_site_fract_x
_atom_site_fract_y
_atom_site_fract_z
Re1 0.000 0.000 0.000
C1 0.000 0.000 0.500
S1 0.500 0.500 0.500
# total moment	1.014	Bohr magnetons per cell
# raw total energy	-33.3	eV per cell
# DOS at the Fermi energy	1.60	states/eV per cell
# ΔE to the lowest computed polymorph	0	meV/atom
# crystal system	cubic
# formation energy without anion corrections	2181	meV per atom

# ReCS, relaxed, DFT GGA-PBE
data_ReCS
_space_group_name_H-M_alt 'C 2 2 2'
_space_group_IT_number 21
_cell_length_a 6.021
_cell_length_b 9.445
_cell_length_c 2.975
_cell_angle_alpha 90.00
_cell_angle_beta 90.00
_cell_angle_gamma 90.00
loop_
_space_group_symop_operation_xyz
'x,y,z'
'-x,-y,z'
'x,-y,-z'
'-x,y,-z'
'x+1/2,y+1/2,z'
'-x+1/2,-y+1/2,z'
'x+1/2,-y+1/2,-z'
'-x+1/2,y+1/2,-z'
loop_
_atom_site_label
_atom_site_fract_x
_atom_site_fract_y
_atom_site_fract_z
Re1 0.250 0.250 0.076
C1 0.000 0.266 0.500
S1 0.172 0.000 0.000
# total moment	0.000	Bohr magnetons per cell
# raw total energy	-97.7	eV per cell
# DOS at the Fermi energy	2.82	states/eV per cell
# ΔE to the lowest computed polymorph	180	meV/atom
# crystal system	orthorhombic
# formation energy without anion corrections	462	meV per atom

# ReCS, relaxed, DFT GGA-PBE
data_ReCS
_space_group_name_H-M_alt 'P -1'
_space_group_IT_number 2
_cell_length_a 3.131
_cell_length_b 5.171
_cell_length_c 5.700
_cell_angle_alpha 68.67
_cell_angle_beta 89.02
_cell_angle_gamma 77.18
loop_
_space_group_symop_operation_xyz
'x,y,z'
'-x,-y,-z'
loop_
_atom_site_label
_atom_site_fract_x
_atom_site_fract_y
_atom_site_fract_z
Re1 0.198 0.152 0.312
C1 0.204 0.111 0.693
S1 0.170 0.350 0.850
# total moment	0.000	Bohr magnetons per cell
# raw total energy	-49.8	eV per cell
# DOS at the Fermi energy	2.01	states/eV per cell
# ΔE to the lowest computed polymorph	15	meV/atom
# crystal system	triclinic
# formation energy without anion corrections	297	meV per atom

# ReCS, relaxed, DFT GGA-PBE
data_ReCS
_space_group_name_H-M_alt 'C 1 m 1'
_space_group_IT_number 8
_cell_length_a 10.623
_cell_length_b 2.964
_cell_length_c 5.957
_cell_angle_alpha 90.00
_cell_angle_beta 111.07
_cell_angle_gamma 90.00
loop_
_space_group_symop_operation_xyz
'x,y,z'
'x,-y,z'
'x+1/2,y+1/2,z'
'x+1/2,-y+1/2,z'
loop_
_atom_site_label
_atom_site_fract_x
_atom_site_fract_y
_atom_site_fract_z
Re1 0.000 0.000 0.000
Re2 0.188 0.500 0.844
C1 0.112 0.000 0.345
C2 0.168 0.000 0.578
S1 0.346 0.000 0.120
S2 0.451 0.000 0.675
# total moment	0.000	Bohr magnetons per cell
# raw total energy	-98.6	eV per cell
# DOS at the Fermi energy	6.38	states/eV per cell
# ΔE to the lowest computed polymorph	102	meV/atom
# crystal system	monoclinic
# formation energy without anion corrections	383	meV per atom

# ReCS, relaxed, DFT GGA-PBE
data_ReCS
_space_group_name_H-M_alt 'C 1 m 1'
_space_group_IT_number 8
_cell_length_a 10.307
_cell_length_b 2.928
_cell_length_c 6.259
_cell_angle_alpha 90.00
_cell_angle_beta 122.97
_cell_angle_gamma 90.00
loop_
_space_group_symop_operation_xyz
'x,y,z'
'x,-y,z'
'x+1/2,y+1/2,z'
'x+1/2,-y+1/2,z'
loop_
_atom_site_label
_atom_site_fract_x
_atom_site_fract_y
_atom_site_fract_z
Re1 0.000 0.000 0.000
Re2 0.214 0.000 0.601
C1 0.137 0.500 0.970
C2 0.223 0.500 0.860
S1 0.372 0.500 0.553
S2 0.499 0.000 0.307
# total moment	0.000	Bohr magnetons per cell
# raw total energy	-98.7	eV per cell
# DOS at the Fermi energy	4.53	states/eV per cell
# ΔE to the lowest computed polymorph	96	meV/atom
# crystal system	monoclinic
# formation energy without anion corrections	378	meV per atom

# ReCS, relaxed, DFT GGA-PBE
data_ReCS
_space_group_name_H-M_alt 'C 1 m 1'
_space_group_IT_number 8
_cell_length_a 12.818
_cell_length_b 3.056
_cell_length_c 4.570
_cell_angle_alpha 90.00
_cell_angle_beta 99.77
_cell_angle_gamma 90.00
loop_
_space_group_symop_operation_xyz
'x,y,z'
'x,-y,z'
'x+1/2,y+1/2,z'
'x+1/2,-y+1/2,z'
loop_
_atom_site_label
_atom_site_fract_x
_atom_site_fract_y
_atom_site_fract_z
Re1 0.000 0.000 0.000
Re2 0.165 0.000 0.703
C1 0.035 0.500 0.686
C2 0.122 0.000 0.298
S1 0.306 0.500 0.777
S2 0.437 0.000 0.345
# total moment	0.000	Bohr magnetons per cell
# raw total energy	-98.0	eV per cell
# DOS at the Fermi energy	6.89	states/eV per cell
# ΔE to the lowest computed polymorph	148	meV/atom
# crystal system	monoclinic
# formation energy without anion corrections	430	meV per atom

# ReCS, relaxed, DFT GGA-PBE
data_ReCS
_space_group_name_H-M_alt 'P -1'
_space_group_IT_number 2
_cell_length_a 2.926
_cell_length_b 4.192
_cell_length_c 8.048
_cell_angle_alpha 101.81
_cell_angle_beta 92.29
_cell_angle_gamma 90.01
loop_
_space_group_symop_operation_xyz
'x,y,z'
'-x,-y,-z'
loop_
_atom_site_label
_atom_site_fract_x
_atom_site_fract_y
_atom_site_fract_z
Re1 0.238 0.239 0.397
C1 0.267 0.441 0.656
S1 0.281 0.147 0.783
# total moment	0.000	Bohr magnetons per cell
# raw total energy	-49.4	eV per cell
# DOS at the Fermi energy	2.72	states/eV per cell
# ΔE to the lowest computed polymorph	91	meV/atom
# crystal system	triclinic
# formation energy without anion corrections	373	meV per atom

# ReCS, relaxed, DFT GGA-PBE
data_ReCS
_space_group_name_H-M_alt 'C 1 m 1'
_space_group_IT_number 8
_cell_length_a 11.711
_cell_length_b 3.091
_cell_length_c 5.113
_cell_angle_alpha 90.00
_cell_angle_beta 99.77
_cell_angle_gamma 90.00
loop_
_space_group_symop_operation_xyz
'x,y,z'
'x,-y,z'
'x+1/2,y+1/2,z'
'x+1/2,-y+1/2,z'
loop_
_atom_site_label
_atom_site_fract_x
_atom_site_fract_y
_atom_site_fract_z
Re1 0.000 0.000 0.000
Re2 0.171 0.000 0.687
C1 0.080 0.000 0.340
C2 0.096 0.500 0.832
S1 0.351 0.000 0.544
S2 0.353 0.000 0.086
# total moment	0.000	Bohr magnetons per cell
# raw total energy	-97.6	eV per cell
# DOS at the Fermi energy	4.56	states/eV per cell
# ΔE to the lowest computed polymorph	183	meV/atom
# crystal system	monoclinic
# formation energy without anion corrections	465	meV per atom

# ReCS, relaxed, DFT GGA-PBE
data_ReCS
_space_group_name_H-M_alt 'P -1'
_space_group_IT_number 2
_cell_length_a 2.909
_cell_length_b 6.496
_cell_length_c 6.822
_cell_angle_alpha 117.95
_cell_angle_beta 102.27
_cell_angle_gamma 90.14
loop_
_space_group_symop_operation_xyz
'x,y,z'
'-x,-y,-z'
loop_
_atom_site_label
_atom_site_fract_x
_atom_site_fract_y
_atom_site_fract_z
Re1 0.189 0.055 0.350
C1 0.466 0.986 0.893
S1 0.170 0.698 0.353
# total moment	0.000	Bohr magnetons per cell
# raw total energy	-49.9	eV per cell
# DOS at the Fermi energy	1.34	states/eV per cell
# ΔE to the lowest computed polymorph	0	meV/atom
# crystal system	triclinic
# formation energy without anion corrections	282	meV per atom

# ReCS, relaxed, DFT GGA-PBE
data_ReCS
_space_group_name_H-M_alt 'C 1 m 1'
_space_group_IT_number 8
_cell_length_a 11.573
_cell_length_b 3.022
_cell_length_c 6.006
_cell_angle_alpha 90.00
_cell_angle_beta 109.38
_cell_angle_gamma 90.00
loop_
_space_group_symop_operation_xyz
'x,y,z'
'x,-y,z'
'x+1/2,y+1/2,z'
'x+1/2,-y+1/2,z'
loop_
_atom_site_label
_atom_site_fract_x
_atom_site_fract_y
_atom_site_fract_z
Re1 0.000 0.000 0.000
Re2 0.128 0.000 0.686
C1 0.083 0.000 0.341
C2 0.086 0.500 0.870
S1 0.335 0.000 0.802
S2 0.426 0.500 0.343
# total moment	0.000	Bohr magnetons per cell
# raw total energy	-97.2	eV per cell
# DOS at the Fermi energy	5.97	states/eV per cell
# ΔE to the lowest computed polymorph	214	meV/atom
# crystal system	monoclinic
# formation energy without anion corrections	496	meV per atom

# ReCS, relaxed, DFT GGA-PBE
data_ReCS
_space_group_name_H-M_alt 'C 1 2/m 1'
_space_group_IT_number 12
_cell_length_a 15.747
_cell_length_b 3.002
_cell_length_c 5.285
_cell_angle_alpha 90.00
_cell_angle_beta 92.26
_cell_angle_gamma 90.00
loop_
_space_group_symop_operation_xyz
'x,y,z'
'-x,-y,-z'
'-x,y,-z'
'x,-y,z'
'x+1/2,y+1/2,z'
'-x+1/2,-y+1/2,-z'
'-x+1/2,y+1/2,-z'
'x+1/2,-y+1/2,z'
loop_
_atom_site_label
_atom_site_fract_x
_atom_site_fract_y
_atom_site_fract_z
Re1 0.060 0.000 0.204
C1 0.000 0.000 0.500
C2 0.000 0.500 0.000
S1 0.174 0.500 0.263
# total moment	0.000	Bohr magnetons per cell
# raw total energy	-98.7	eV per cell
# DOS at the Fermi energy	3.00	states/eV per cell
# ΔE to the lowest computed polymorph	95	meV/atom
# crystal system	monoclinic
# formation energy without anion corrections	377	meV per atom

Q: Which of these has the highest DOS at the Fermi energy?
A: number 7